[1]
# Pm4SbS3

An optimized crystal structure of Pm4SbS3 (GGA-PBE, the Alexandria database).

## Properties
- E_tot: -49.590 eV/cell
- E_form (uncorrected): -1760 meV per atom
- Space group: Pmmm

a b c (Å): 4.145 5.900 8.355
angles (deg): 90.00 90.00 90.00
Fractional positions:
1 Sb 0.000 0.000 0.000
2 S 0.500 0.500 0.254
3 S 0.000 0.000 0.500
4 S 0.500 0.500 0.746
5 Pm 0.000 0.500 0.500
6 Pm 0.500 0.000 0.730
7 Pm 0.000 0.500 0.000
8 Pm 0.500 0.000 0.270

***

[2]
# Pm2SbS5

An optimized crystal structure of Pm2SbS5 (GGA-PBE, the Alexandria database).

## Properties
- E_tot: -90.139 eV/cell
- E_form (uncorrected): -1351 meV per atom
- Space group: Pbam
- Energy above the most stable polymorph in this dataset: 0 kJ/mol of formula units

a b c (Å): 3.991 7.782 11.491
angles (deg): 90.00 90.00 90.00
Fractional positions:
1 Pm 0.500 0.539 0.173
2 Pm 0.500 0.461 0.827
3 Pm 0.500 0.961 0.673
4 Pm 0.500 0.039 0.327
5 Sb 0.000 0.500 0.500
6 Sb 0.000 0.000 0.000
7 S 0.000 0.000 0.500
8 S 0.000 0.500 0.000
9 S 0.000 0.826 0.199
10 S 0.000 0.174 0.801
11 S 0.000 0.674 0.699
12 S 0.000 0.326 0.301
13 S 0.500 0.676 0.409
14 S 0.500 0.324 0.591
15 S 0.500 0.824 0.909
16 S 0.500 0.176 0.091